Entry 1:
Computed, not measured: a relaxed structure of ScNiRu2 at the GGA-PBEsol level of DFT.

Summary:
Energy relative to the elements: -0.001 eV/atom

Lattice parameters (Å, degrees): 4.7091 4.7091 4.7091 132.47 132.47 69.49
Fractional coordinates of all 4 atoms:
Sc1 0.0000 0.0000 0.0000
Ni1 0.5000 0.5000 0.0000
Ru1 0.2500 0.7500 0.5000
Ru2 0.7500 0.2500 0.5000


Entry 2:
Computed, not measured: a relaxed structure of ScTa2NiRu at the GGA-PBEsol level of DFT.

Summary:
Energy relative to the elements: 1.993 eV/atom

Lattice parameters (Å, degrees): 4.6321 4.6321 4.3590 90.00 90.00 90.00
Fractional coordinates of all 5 atoms:
Sc1 0.0000 0.0000 0.0000
Ta1 0.0000 0.5000 0.0000
Ta2 0.5000 0.0000 0.0000
Ni1 0.5000 0.5000 0.5000
Ru1 0.0000 0.0000 0.5000